# NiTeI2O

An optimized crystal structure of NiTeI2O (PBE+U, Alexandria).

Computed properties:
The calculated total energy is -2.150 eV per atom. The calculated density is 6.05 g cm⁻³. As for the magnetic moment: 0.210 μB/atom.

a b c (Å): 5.2450 5.2450 4.5475
angles (deg): 90.00 90.00 90.00
With the nearest neighbours (Å) after each atom.
Fractional positions:
Ni 0.0000 0.0000 0.0000  8 I 3.47, 4 Te 3.71
Te 0.5000 0.5000 0.0000  2 O 2.27
I 0.0000 0.5000 0.5000  2 O 2.62
I 0.5000 0.0000 0.5000  2 O 2.62
O 0.5000 0.5000 0.5000  2 Te 2.27